Crystalline Tb2NdTm at its relaxed geometry. Source: Alexandria, functional PBE-GGA.

The structure belongs to space group Imm2 (No. 44); the cell edges are 3.709, 5.888 and 11.894 Å and the angles 90.00°, 90.00° and 90.00°. The distinct sites, in fractional coordinates, are Tb at (0.000, 0.000, 0.000), Tb at (0.000, 0.500, 0.249), Nd at (0.000, 0.000, 0.486) and Tm at (0.000, 0.500, 0.739).

The calculation puts the total energy at -4.5025 eV per atom. As for the offset from the most stable computed form: 0.1038 eV/atom.